No. 1
This record from the Alexandria database describes a relaxed Li3ZrV2Se6 crystal. The functional is GGA-PBE.

Values from the calculation:
The value obtained for the energy relative to the elements, uncorrected is -1.020 eV/atom. Its space group is C2/m.

extended XYZ file:
```
12
Lattice="6.2863 0.0195 0.0201 -3.1247 5.4547 0.0201 -1.0344 -1.7910 6.5788" Properties=species:S:1:pos:R:3 pbc="T T T"
Li -2.0070 3.6149 3.3095
Li 4.1341 0.0682 3.3095
Li 1.0636 1.8416 3.3095
Zr 0.0000 0.0000 0.0000
V 0.3640 3.4398 0.0201
V 2.7975 2.0344 0.0201
Se 3.2388 1.7382 5.1306
Se 2.1022 3.6400 1.7491
Se -1.1116 1.9450 1.4885
Se -0.1130 3.6740 5.1306
Se 0.0249 0.0432 4.8700
Se 2.2402 0.0092 1.4885
```

---

No. 2
This record from the Alexandria database describes a relaxed SrCdCuSn2 crystal. The functional is GGA-PBE.

Values from the calculation:
The total energy is -16.1 eV for the cell shown. Its space group is I-4m2.

extended XYZ file:
```
5
Lattice="4.6616 0.0000 0.0000 0.0000 4.6616 0.0000 -2.3308 -2.3308 5.9798" Properties=species:S:1:pos:R:3 pbc="T T T"
Sr 0.0000 0.0000 0.0000
Cd 0.0000 2.3308 2.9899
Cu 2.3308 0.0000 2.9899
Sn 2.3308 2.3308 1.4334
Sn 0.0000 0.0000 4.5465
```

---

No. 3
This record from the Alexandria database describes a relaxed K2TlI crystal. The functional is GGA-PBE.

Values from the calculation:
The value obtained for the energy relative to the elements, uncorrected is -0.647 eV/atom. The relative energy among the computed polymorphs is 0.000 eV per atom. Its space group is P4/mmm.

extended XYZ file:
```
4
Lattice="-2.7063 0.7348 3.0713 2.0538 -2.6630 2.4469 5.4483 7.0611 3.1115" Properties=species:S:1:pos:R:3 pbc="T T T"
I -0.3262 -0.9641 2.7591
Tl 2.3979 2.5665 4.3148
K 4.2116 5.4583 2.4053
K 1.2367 1.6028 0.7063
```

---

No. 4
This record from the Alexandria database describes a relaxed MnCo3Tc crystal. The functional is GGA-PBE.

Values from the calculation:
The relative energy among the computed polymorphs is 0.000 eV per atom. Its space group is Pm-3m.

extended XYZ file:
```
5
Lattice="-0.0731 -2.5850 3.2222 4.1239 -0.2344 -0.0945 0.2420 3.2145 2.5843" Properties=species:S:1:pos:R:3 pbc="T T T"
Mn 0.0000 0.0000 0.0000
Co 2.0619 -0.1172 -0.0473
Co 0.1210 1.6073 1.2921
Co -0.0365 -1.2925 1.6111
Tc 2.1464 0.1975 2.8560
```